(1)
An optimized crystal structure of ZrAl2W. Source: Alexandria via LeMat-Bulk, functional PBE-GGA.

abc: 2.816 4.275 5.779
angles: 90.00 99.19 90.00
Element x y z (fractional)
Zr1 0.000 0.000 0.000
Al1 0.471 0.500 0.729
Al2 0.529 0.500 0.271
W1 0.000 0.000 0.500

Computed properties:
E_tot: -7.430 eV/atom
E above lowest polymorph: 0.000 eV/f.u.
formation enthalpy at 0 K: -183.9 meV per atom
space group: No. 10



(2)
An optimized crystal structure of TbDy3Te. Source: Alexandria via LeMat-Bulk, functional PBE-GGA.

abc: 6.683 6.683 9.102
angles: 95.36 95.36 51.27
Element x y z (fractional)
Tb1 0.079 0.079 0.152
Tb2 0.921 0.921 0.848
Dy1 0.127 0.127 0.635
Dy2 0.360 0.360 0.044
Dy3 0.443 0.443 0.658
Dy4 0.557 0.557 0.342
Dy5 0.640 0.640 0.956
Dy6 0.873 0.873 0.365
Te1 0.288 0.288 0.369
Te2 0.712 0.712 0.631

Computed properties:
E_tot: -4.653 eV/atom
space group: No. 12



(3)
An optimized crystal structure of ZrScPb2. Source: Alexandria via LeMat-Bulk, functional PBE-GGA.

abc: 3.261 3.261 10.165
angles: 90.00 90.00 90.12
Element x y z (fractional)
Zr1 0.000 0.000 0.000
Sc1 0.500 0.500 0.210
Pb1 0.000 0.000 0.450
Pb2 0.500 0.500 0.760

Computed properties:
E_tot: -5.618 eV/atom
E above lowest polymorph: 0.886 eV/f.u.
formation enthalpy at 0 K: -43.5 meV per atom
space group: No. 35



(4)
An optimized crystal structure of Nd2Dy2Si4Ir. Source: Alexandria via LeMat-Bulk, functional PBE-GGA.

abc: 6.502 6.502 6.502
angles: 115.89 115.89 97.28
Element x y z (fractional)
Nd1 0.250 0.750 0.500
Nd2 0.750 0.250 0.500
Dy1 0.186 0.186 0.000
Dy2 0.814 0.814 0.000
Si1 0.253 0.253 0.506
Si2 0.253 0.747 0.000
Si3 0.747 0.253 0.000
Si4 0.747 0.747 0.494
Ir1 0.500 0.500 0.000

Computed properties:
E_tot: -5.900 eV/atom
space group: No. 139



(5)
An optimized crystal structure of CaSc2Br. Source: Alexandria via LeMat-Bulk, functional PBE-GGA.

abc: 3.456 9.304 9.304
angles: 21.76 90.00 90.00
Element x y z (fractional)
Ca1 0.000 0.000 0.000
Sc1 0.000 0.744 0.744
Sc2 0.500 0.355 0.355
Br1 0.500 0.612 0.612

Computed properties:
E_tot: -4.541 eV/atom
E above lowest polymorph: 0.000 eV/f.u.
space group: No. 38



(6)
An optimized crystal structure of La3PmNdDy. Source: Alexandria via LeMat-Bulk, functional PBE-GGA.

abc: 10.865 10.865 6.890
angles: 90.01 90.01 31.68
Element x y z (fractional)
La1 0.016 0.016 0.255
La2 0.281 0.281 0.246
La3 0.340 0.340 0.739
La4 0.660 0.660 0.261
La5 0.719 0.719 0.754
La6 0.984 0.984 0.745
Pm1 0.144 0.144 0.985
Pm2 0.856 0.856 0.015
Nd1 0.441 0.441 0.252
Nd2 0.559 0.559 0.748
Dy1 0.146 0.146 0.530
Dy2 0.854 0.854 0.470

Computed properties:
E_tot: -4.674 eV/atom
formation enthalpy at 0 K: 143.6 meV per atom
space group: No. 12



(7)
An optimized crystal structure of BaCaMo. Source: Alexandria via LeMat-Bulk, functional PBE-GGA.

abc: 8.603 8.600 3.362
angles: 78.78 78.69 22.54
Element x y z (fractional)
Ba1 0.000 0.000 0.000
Ca1 0.273 0.273 0.727
Mo1 0.647 0.647 0.353

Computed properties:
E_tot: -3.947 eV/atom
E above lowest polymorph: 0.000 eV/f.u.
formation enthalpy at 0 K: 971.3 meV per atom
space group: No. 42



(8)
An optimized crystal structure of Ba2CaInIr. Source: Alexandria via LeMat-Bulk, functional PBE-GGA.

abc: 6.097 6.097 5.493
angles: 90.00 90.00 90.00
Element x y z (fractional)
Ba1 0.000 0.500 0.000
Ba2 0.500 0.000 0.000
Ca1 0.000 0.000 0.500
In1 0.500 0.500 0.500
Ir1 0.000 0.000 0.000

Computed properties:
E_tot: -3.637 eV/atom
formation enthalpy at 0 K: -148.2 meV per atom
space group: No. 123



(9)
An optimized crystal structure of Ba4ReHg. Source: Alexandria via LeMat-Bulk, functional PBE-GGA.

abc: 7.005 7.005 7.005
angles: 60.00 60.00 60.00
Element x y z (fractional)
Ba1 0.376 0.376 0.376
Ba2 0.376 0.376 0.873
Ba3 0.376 0.873 0.376
Ba4 0.873 0.376 0.376
Re1 0.750 0.750 0.750
Hg1 0.000 0.000 0.000

Computed properties:
E_tot: -2.224 eV/atom
formation enthalpy at 0 K: 1182.4 meV per atom
space group: No. 216



(10)
An optimized crystal structure of TaMn2C. Source: Alexandria via LeMat-Bulk, functional PBE-GGA.

abc: 5.127 5.127 5.127
angles: 101.16 101.16 127.80
Element x y z (fractional)
Ta1 0.000 0.000 0.000
Ta2 0.750 0.250 0.500
Mn1 0.240 0.625 0.115
Mn2 0.375 0.490 0.615
Mn3 0.510 0.125 0.885
Mn4 0.875 0.760 0.385
C1 0.250 0.750 0.500
C2 0.500 0.500 0.000

Computed properties:
E_tot: -9.759 eV/atom
formation enthalpy at 0 K: 94.6 meV per atom
space group: No. 122



(11)
An optimized crystal structure of CaMoPd. Source: Alexandria via LeMat-Bulk, functional PBE-GGA.

abc: 5.455 5.455 7.513
angles: 126.99 126.99 48.88
Element x y z (fractional)
Ca1 0.240 0.240 0.172
Ca2 0.760 0.760 0.828
Mo1 0.080 0.080 0.441
Mo2 0.920 0.920 0.559
Pd1 0.439 0.439 0.771
Pd2 0.561 0.561 0.229

Computed properties:
E_tot: -5.966 eV/atom
E above lowest polymorph: 0.427 eV/f.u.
formation enthalpy at 0 K: 42.4 meV per atom
space group: No. 12



(12)
An optimized crystal structure of Li2AlIr. Source: Alexandria via LeMat-Bulk, functional PBE-GGA.

abc: 4.640 4.640 4.574
angles: 108.95 108.95 37.59
Element x y z (fractional)
Li1 0.000 0.000 0.000
Li2 0.249 0.249 0.849
Al1 0.761 0.761 0.372
Ir1 0.500 0.500 0.490

Computed properties:
E_tot: -4.447 eV/atom
formation enthalpy at 0 K: -338.9 meV per atom
space group: No. 8



Please write out number 5 again, unchanged.
An optimized crystal structure of CaSc2Br. Source: Alexandria via LeMat-Bulk, functional PBE-GGA.

abc: 3.456 9.304 9.304
angles: 21.76 90.00 90.00
Element x y z (fractional)
Ca1 0.000 0.000 0.000
Sc1 0.000 0.744 0.744
Sc2 0.500 0.355 0.355
Br1 0.500 0.612 0.612

Computed properties:
E_tot: -4.541 eV/atom
E above lowest polymorph: 0.000 eV/f.u.
space group: No. 38